First-principles (PBEsol) data for a relaxed Ni2OsRh crystal, as listed in Alexandria.

abc: 4.4886 4.4886 4.3933
angles: 99.84 99.84 33.81
Closest atoms and distances in Å follow each position.
Fractional positions:
Ni 0.0000 0.0000 0.0000  4 Os 2.52-2.59, 5 Ni 2.54-2.61, 3 Rh 2.60-2.62
Ni 0.7465 0.7465 0.2332  5 Ni 2.54-2.61, 4 Rh 2.55-2.56, 3 Os 2.58-2.60
Os 0.4955 0.4955 0.4884  7 Ni 2.52-2.60, 3 Rh 2.55-2.59, 2 Os 2.61
Rh 0.2473 0.2473 0.7339  7 Ni 2.55-2.62, 3 Os 2.55-2.59, 2 Rh 2.61

Output
Calculated volume (Å³/f.u.): 48.5
Formation energy from the elements (eV per atom): 0.051
M_tot (μB per formula unit): 0.0
E (eV per atom): -8.116
Space group: No. 8

First-principles (PBEsol) data for a relaxed Zr2TlCu crystal, as listed in Alexandria.

abc: 5.1472 5.1472 5.1472
angles: 130.57 130.57 72.49
Closest atoms and distances in Å follow each position.
Fractional positions:
Zr 0.2500 0.7500 0.5000  4 Cu 2.99, 4 Tl 2.99, 4 Zr 3.04
Zr 0.7500 0.2500 0.5000  4 Cu 2.99, 4 Tl 2.99, 4 Zr 3.04
Tl 0.0000 0.0000 0.0000  8 Zr 2.99, 4 Cu 3.04
Cu 0.5000 0.5000 0.0000  8 Zr 2.99, 4 Tl 3.04

Output
Calculated volume (Å³/f.u.): 76.9
Formation energy from the elements (eV per atom): -0.088
M_tot (μB per formula unit): 0.0
E (eV per atom): -6.374
Space group: No. 139

First-principles (PBEsol) data for a relaxed YMnReF2 crystal, as listed in Alexandria.

abc: 4.1282 4.1282 4.6489
angles: 90.00 90.00 90.00
Closest atoms and distances in Å follow each position.
Fractional positions:
Y 0.0000 0.0000 0.0000  4 Mn 2.92, 8 F 3.11
Mn 0.5000 0.5000 0.0000  2 Re 2.32
Re 0.5000 0.5000 0.5000  4 F 2.06
F 0.0000 0.5000 0.5000  2 Re 2.06
F 0.5000 0.0000 0.5000  2 Re 2.06

Output
Formation energy from raw total energies (eV/atom): -0.314
Calculated volume (Å³/f.u.): 79.2
M_tot (μB per formula unit): 1.8
E (eV per atom): -7.068
Space group: No. 123

What is the M_tot in the first record? 0.0 μB per formula unit